# Sr2HgOs (SCAN, single point on PBEsol structure)
data_Sr2HgOs
_chemical_formula_sum 'Sr8 Hg4 Os4'
_cell_length_a 7.209
_cell_length_b 7.209
_cell_length_c 7.209
_cell_angle_alpha 90.00
_cell_angle_beta 90.00
_cell_angle_gamma 90.00
_symmetry_space_group_name_H-M 'F -4 3 m'
_symmetry_Int_Tables_number 216
_symmetry_space_group_name_Hall 'F -4 2 3'
loop_
_atom_site_label
_atom_site_type_symbol
_atom_site_fract_x
_atom_site_fract_y
_atom_site_fract_z
Sr1 Sr 0.000 0.000 0.000
Sr2 Sr 0.250 0.250 0.250
Hg1 Hg 0.250 0.250 0.750
Os1 Os 0.000 0.000 0.500
# Raw total energy ... -1.6772 Ha/atom
# Theoretical density ... 10.037 Mg/m³


# ScMoIr2 (SCAN, single point on PBEsol structure)
data_ScMoIr2
_chemical_formula_sum 'Sc1 Mo1 Ir2'
_cell_length_a 3.238
_cell_length_b 3.238
_cell_length_c 6.051
_cell_angle_alpha 90.00
_cell_angle_beta 90.00
_cell_angle_gamma 90.00
_symmetry_space_group_name_H-M 'P 4 m m'
_symmetry_Int_Tables_number 99
_symmetry_space_group_name_Hall 'P 4 -2'
loop_
_atom_site_label
_atom_site_type_symbol
_atom_site_fract_x
_atom_site_fract_y
_atom_site_fract_z
Sc1 Sc 0.000 0.000 0.000
Mo1 Mo 0.500 0.500 0.699
Ir1 Ir 0.000 0.000 0.507
Ir2 Ir 0.500 0.500 0.227
# Raw total energy ... -1.7656 Ha/atom
# Theoretical density ... 13.752 Mg/m³


# Fe3Co (SCAN, single point on PBEsol structure)
data_Fe3Co
_chemical_formula_sum 'Fe6 Co2'
_cell_length_a 2.788
_cell_length_b 3.960
_cell_length_c 7.950
_cell_angle_alpha 90.00
_cell_angle_beta 90.00
_cell_angle_gamma 90.00
_symmetry_space_group_name_H-M 'I m m m'
_symmetry_Int_Tables_number 71
_symmetry_space_group_name_Hall '-I 2 2'
loop_
_atom_site_label
_atom_site_type_symbol
_atom_site_fract_x
_atom_site_fract_y
_atom_site_fract_z
Fe1 Fe 0.000 0.000 0.000
Fe2 Fe 0.000 0.500 0.249
Co1 Co 0.000 0.000 0.500
# Raw total energy ... -0.6639 Ha/atom
# Theoretical density ... 8.569 Mg/m³


# InPN3 (SCAN, single point on PBEsol structure)
data_InPN3
_chemical_formula_sum 'In1 P1 N3'
_cell_length_a 3.594
_cell_length_b 3.594
_cell_length_c 3.594
_cell_angle_alpha 90.00
_cell_angle_beta 90.00
_cell_angle_gamma 90.00
_symmetry_space_group_name_H-M 'P m -3 m'
_symmetry_Int_Tables_number 221
_symmetry_space_group_name_Hall '-P 4 2 3'
loop_
_atom_site_label
_atom_site_type_symbol
_atom_site_fract_x
_atom_site_fract_y
_atom_site_fract_z
In1 In 0.000 0.000 0.000
P1 P 0.500 0.500 0.500
N1 N 0.000 0.500 0.500
# Theoretical density ... 6.720 Mg/m³
# ΔE_f (raw) ... 3.9 eV per formula unit


# CoRh (SCAN, single point on PBEsol structure)
data_CoRh
_chemical_formula_sum 'Co3 Rh3'
_cell_length_a 2.6007
_cell_length_b 2.6007
_cell_length_c 12.4367
_cell_angle_alpha 90.00
_cell_angle_beta 90.00
_cell_angle_gamma 120.00
_symmetry_space_group_name_H-M 'P 3 m 1'
_symmetry_Int_Tables_number 156
_symmetry_space_group_name_Hall 'P 3 -2"'
loop_
_atom_site_label
_atom_site_type_symbol
_atom_site_fract_x
_atom_site_fract_y
_atom_site_fract_z
Co1 Co 0.0000 0.0000 0.0000
Co2 Co 0.0000 0.0000 0.4876
Co3 Co 0.3333 0.6667 0.1514
Rh1 Rh 0.3333 0.6667 0.6527
Rh2 Rh 0.6667 0.3333 0.3210
Rh3 Rh 0.6667 0.3333 0.8326
# Raw total energy ... -0.9357 Ha/atom
# Theoretical density ... 11.068 Mg/m³


# YCoBr2 (SCAN, single point on PBEsol structure)
data_YCoBr2
_chemical_formula_sum 'Y3 Co3 Br6'
_cell_length_a 3.5206
_cell_length_b 3.5206
_cell_length_c 25.8056
_cell_angle_alpha 90.00
_cell_angle_beta 90.00
_cell_angle_gamma 120.00
_symmetry_space_group_name_H-M 'R -3 m'
_symmetry_Int_Tables_number 166
_symmetry_space_group_name_Hall '-R 3 2"'
loop_
_atom_site_label
_atom_site_type_symbol
_atom_site_fract_x
_atom_site_fract_y
_atom_site_fract_z
Y1 Y 0.0000 0.0000 0.0000
Co1 Co 0.0000 0.0000 0.5000
Br1 Br 0.0000 0.0000 0.4113
# Theoretical density ... 5.533 Mg/m³
# Relative energy among the computed polymorphs ... 0.3418 eV per atom
# ΔE_f (raw) ... -1.8 eV per formula unit


# TcAs2Os (SCAN, single point on PBEsol structure)
data_TcAs2Os
_chemical_formula_sum 'Tc1 As2 Os1'
_cell_length_a 2.870
_cell_length_b 3.946
_cell_length_c 5.186
_cell_angle_alpha 90.00
_cell_angle_beta 90.00
_cell_angle_gamma 90.00
_symmetry_space_group_name_H-M 'P m m 2'
_symmetry_Int_Tables_number 25
_symmetry_space_group_name_Hall 'P 2 -2'
loop_
_atom_site_label
_atom_site_type_symbol
_atom_site_fract_x
_atom_site_fract_y
_atom_site_fract_z
Tc1 Tc 0.000 0.000 0.000
As1 As 0.000 0.000 0.516
As2 As 0.500 0.500 0.167
Os1 Os 0.500 0.500 0.683
# Theoretical density ... 12.388 Mg/m³
# Relative energy among the computed polymorphs ... 0.0000 eV per atom


# Ni2AgOs (SCAN, single point on PBEsol structure)
data_Ni2AgOs
_chemical_formula_sum 'Ni4 Ag2 Os2'
_cell_length_a 8.369
_cell_length_b 2.600
_cell_length_c 4.840
_cell_angle_alpha 90.00
_cell_angle_beta 97.93
_cell_angle_gamma 90.00
_symmetry_space_group_name_H-M 'C 1 2/m 1'
_symmetry_Int_Tables_number 12
_symmetry_space_group_name_Hall '-C 2y'
loop_
_atom_site_label
_atom_site_type_symbol
_atom_site_fract_x
_atom_site_fract_y
_atom_site_fract_z
Ni1 Ni 0.245 0.000 0.218
Ag1 Ag 0.000 0.000 0.500
Os1 Os 0.000 0.500 0.000
# Theoretical density ... 13.229 Mg/m³
# Relative energy among the computed polymorphs ... 0.0000 eV per atom


> Which value of theoretical density does entry 6 give?

5.533 Mg/m³


> Among the records above, which one has the lowest theoretical density?

YCoBr2